DFT (SCAN) results for a crystal of BeCuW2 relaxed with PBEsol.

## Properties
M_tot	0.0	μB per formula unit
DOS at the Fermi energy	3.85	states/eV/cell
E_form	0.319	eV/atom
ΔE to the lowest computed polymorph	145.8	meV/atom
calculated volume	104.55	Å³/cell

a b c (Å): 3.6131 3.6131 8.0091
angles (deg): 90.00 90.00 90.00
Space group I-4m2 (No. 119)
Asymmetric unit:
Be  0.0000  0.0000  0.0000 x2
Cu  0.0000  0.5000  0.2500 x2
W  0.0000  0.0000  0.5000 x2
W  0.0000  0.5000  0.7500 x2